(1)
K3IrO6 | PBE | optimized geometry

The structure belongs to space group Fm-3m (No. 225); the cell edges are 8.9118, 8.9118 and 8.9118 Å and the angles 90.00°, 90.00° and 90.00°. Symmetry generates all atoms from K at (0.0000, 0.0000, 0.0000), K at (0.2500, 0.2500, 0.2500), Ir at (0.0000, 0.0000, 0.5000) and O at (0.0000, 0.0000, 0.2908).

The uncorrected energy is -5.174 eV/atom. As for the crystal system: cubic. The value obtained for the uncorrected formation energy is -9.83 eV/f.u. The value obtained for the calculated volume is 177 Å³/f.u. For the magnetization, the calculation gives 0.0 Bohr magnetons per cell. The density of states at the Fermi level is 0.84 states/eV/f.u.

(2)
AcAgRhO4 | PBE | optimized geometry

The structure belongs to space group Imma (No. 74); the cell edges are 6.4257, 8.0801 and 9.0717 Å and the angles 90.00°, 90.00° and 90.00°. Symmetry generates all atoms from Ac at (0.0000, 0.0000, 0.0000), Ag at (0.0000, 0.2500, 0.3918), Rh at (0.2500, 0.2500, 0.7500), O at (0.0000, 0.0895, 0.7388) and O at (0.2189, 0.2500, 0.9754).

The uncorrected energy is -6.284 eV/atom. As for the crystal system: orthorhombic. The value obtained for the uncorrected formation energy is -9.84 eV/f.u. The value obtained for the calculated volume is 118 Å³/f.u. For the magnetization, the calculation gives 3.2 Bohr magnetons per cell. The density of states at the Fermi level is 4.04 states/eV/f.u.

Question: Which formula does entry 2 have?
Answer: AcAgRhO4